Entry 1:
DFT (PBE) results for a relaxed structure of Hf3NbB.

## Properties
Energy of formation from the pure elements in eV per atom: 1.87
Crystal system: cubic
E_tot in eV per atom: -7.4477
ΔE to the lowest computed polymorph in meV/atom: 1828

Unit cell a=5.0122 b=5.0122 c=5.0122 alpha=90.00 beta=90.00 gamma=90.00
Closest atoms and distances in Å follow each position.
Element x y z (fractional)
B  0.5000  0.5000  0.5000  12 Hf 3.54
Hf  0.5000  0.0000  0.0000  2 Nb 2.51
Nb  0.0000  0.0000  0.0000  6 Hf 2.51
Hf  0.0000  0.0000  0.5000  2 Nb 2.51
Hf  0.0000  0.5000  0.0000  2 Nb 2.51

=====

Entry 2:
DFT (PBE) results for a relaxed structure of HfNb2B.

## Properties
Energy of formation from the pure elements in eV per atom: -0.28
Crystal system: orthorhombic
E_tot in eV per atom: -9.4766
ΔE to the lowest computed polymorph in meV/atom: 0

Unit cell a=3.4543 b=5.1214 c=7.7156 alpha=90.00 beta=90.00 gamma=109.70
Closest atoms and distances in Å follow each position.
Element x y z (fractional)
Nb  0.3534  0.7069  0.5551  3 B 2.43-2.64
Hf  0.0629  0.1261  0.7500  3 B 2.64-2.82
Nb  0.6466  0.2931  0.4449  3 B 2.43-2.64
Nb  0.3534  0.7069  0.9449  3 B 2.43-2.64
B  0.2295  0.4591  0.2500  6 Nb 2.43-2.64, 2 Hf 2.64
B  0.7705  0.5409  0.7500  6 Nb 2.43-2.64, 2 Hf 2.64
Hf  0.9371  0.8739  0.2500  3 B 2.64-2.82
Nb  0.6466  0.2931  0.0551  3 B 2.43-2.64

=====

Entry 3:
DFT (PBE) results for a relaxed structure of HfNbB2.

## Properties
Energy of formation from the pure elements in eV per atom: -0.54
Crystal system: trigonal
E_tot in eV per atom: -8.8886
ΔE to the lowest computed polymorph in meV/atom: 224

Unit cell a=3.3317 b=3.3317 c=5.8071 alpha=73.33 beta=73.33 gamma=60.00
Closest atoms and distances in Å follow each position.
Element x y z (fractional)
B  0.2542  0.2542  0.2374  3 Nb 2.32, 3 Hf 2.40
B  0.7458  0.7458  0.7626  3 Nb 2.32, 3 Hf 2.40
Nb  0.0000  0.0000  0.0000  6 B 2.32
Hf  0.5000  0.5000  0.5000  6 B 2.40